# 1
VASP calculation (PBE) on crystalline V2CuHg at its relaxed geometry.

Geometry as POSCAR:
```
V2CuHg
1.0
-3.597 3.597 2.493
3.597 -3.597 2.493
3.597 3.597 -2.493
V Cu Hg
4 2 2
Cartesian
5.396 1.630 -0.623 V
1.630 1.799 0.623 V
-1.799 1.967 1.870 V
1.967 1.799 3.116 V
0.000 0.000 0.000 Cu
0.000 3.597 1.246 Cu
3.597 0.000 1.246 Hg
0.000 0.000 2.493 Hg
```

Properties
ΔH_f (0 K) ... 2.86 eV per formula unit
VASP energy ... -4.9433 eV per atom

---

# 2
VASP calculation (PBE) on crystalline K2ZnTc at its relaxed geometry.

Geometry as POSCAR:
```
K2ZnTc
1.0
-2.062 2.062 5.645
2.062 -2.062 5.645
2.062 2.062 -5.645
K Zn Tc
2 1 1
Cartesian
2.062 0.000 2.823 K
0.000 2.062 2.823 K
0.000 0.000 0.000 Zn
0.000 0.000 5.645 Tc
```

Properties
ΔH_f (0 K) ... 4.47 eV per formula unit
VASP energy ... -2.3412 eV per atom

---

# 3
VASP calculation (PBE) on crystalline Tb2CuAs4Pd3 at its relaxed geometry.

Geometry as POSCAR:
```
Tb2CuAs4Pd3
1.0
4.107 0.000 0.000
0.000 4.107 0.000
0.000 0.000 11.132
Tb Cu As Pd
2 1 4 3
Cartesian
0.000 2.054 2.538 Tb
2.054 0.000 8.593 Tb
2.054 2.054 0.000 Cu
0.000 0.000 5.566 As
0.000 2.054 9.632 As
2.054 0.000 1.499 As
2.054 2.054 5.566 As
0.000 0.000 0.000 Pd
0.000 2.054 7.179 Pd
2.054 0.000 3.953 Pd
```

Properties
ΔH_f (0 K) ... -7.56 eV per formula unit
VASP energy ... -5.5090 eV per atom

---

# 4
VASP calculation (PBE) on crystalline NpMnAl2 at its relaxed geometry.

Geometry as POSCAR:
```
NpMnAl2
1.0
0.000 3.299 3.299
3.299 0.000 3.299
3.299 3.299 0.000
Np Mn Al
1 1 2
Cartesian
0.000 0.000 0.000 Np
3.299 3.299 3.299 Mn
1.649 1.649 1.649 Al
4.948 4.948 4.948 Al
```

Properties
ΔH_f (0 K) ... 0.45 eV per formula unit
VASP energy ... -7.2872 eV per atom

---

# 5
VASP calculation (PBE) on crystalline Mg2H3Ir at its relaxed geometry.

Geometry as POSCAR:
```
Mg2H3Ir
1.0
3.136 -3.355 0.000
3.136 3.355 0.000
-3.124 0.000 3.246
Mg H Ir
2 3 1
Cartesian
0.000 0.000 0.000 Mg
3.136 -0.002 0.000 Mg
1.574 -0.020 1.623 H
1.577 -1.642 0.050 H
1.570 -1.642 3.196 H
1.574 1.643 1.623 Ir
```

Properties
VASP energy ... -3.9890 eV per atom
Relative energy among the computed polymorphs ... 0.039 eV per atom

---

# 6
VASP calculation (PBE) on crystalline ZrSb2Br at its relaxed geometry.

Geometry as POSCAR:
```
ZrSb2Br
1.0
4.242 0.000 0.000
0.000 4.242 0.000
0.000 0.000 5.572
Zr Sb Br
1 2 1
Cartesian
0.000 0.000 0.000 Zr
0.000 2.121 2.786 Sb
2.121 0.000 2.786 Sb
2.121 2.121 0.000 Br
```

Properties
ΔE_f (raw) ... -0.03 eV per atom
VASP energy ... -4.6452 eV per atom
Relative energy among the computed polymorphs ... 0.486 eV per atom

---

# 7
VASP calculation (PBE) on crystalline KCdCl3 at its relaxed geometry.

Geometry as POSCAR:
```
KCdCl3
1.0
6.820 -5.026 0.000
6.820 5.026 0.000
-0.132 0.000 4.508
K Cd Cl
2 2 6
Cartesian
0.000 0.000 0.000 K
7.529 0.000 2.351 K
3.706 1.898 3.424 Cd
3.706 -1.898 3.424 Cd
5.510 3.053 2.235 Cl
2.300 0.000 2.322 Cl
5.231 0.000 0.025 Cl
8.870 1.965 0.115 Cl
5.510 -3.053 2.235 Cl
8.870 -1.965 0.115 Cl
```

Properties
ΔE_f (raw) ... -1.43 eV per atom
VASP energy ... -2.9368 eV per atom

---

# 8
VASP calculation (PBE) on crystalline CaB2W at its relaxed geometry.

Geometry as POSCAR:
```
CaB2W
1.0
-2.730 2.730 5.330
2.730 -2.730 5.330
2.730 2.730 -5.330
Ca B W
2 4 2
Cartesian
0.000 0.000 0.000 Ca
0.000 2.730 2.665 Ca
1.365 -0.780 3.997 B
1.950 1.365 1.332 B
1.365 3.510 -1.332 B
0.780 1.365 6.662 B
2.730 0.000 2.665 W
0.000 0.000 5.330 W
```

Properties
ΔH_f (0 K) ... 2.79 eV per formula unit
VASP energy ... -6.3801 eV per atom
Relative energy among the computed polymorphs ... 0.000 eV per atom

---

# 9
VASP calculation (PBE) on crystalline Pr2Th2C3 at its relaxed geometry.

Geometry as POSCAR:
```
Pr2Th2C3
1.0
6.313 -1.883 0.000
6.313 1.883 0.000
-1.142 0.000 6.478
Pr Th C
2 2 3
Cartesian
1.278 0.000 2.347 Pr
10.205 0.000 4.131 Pr
4.585 0.000 0.744 Th
6.899 0.000 5.735 Th
0.000 0.000 0.000 C
2.335 0.000 5.002 C
9.148 0.000 1.477 C
```

Properties
ΔH_f (0 K) ... -1.06 eV per formula unit
VASP energy ... -7.5898 eV per atom

---

# 10
VASP calculation (PBE) on crystalline AcY2Se3 at its relaxed geometry.

Geometry as POSCAR:
```
AcY2Se3
1.0
-2.084 3.012 6.365
2.084 -3.012 6.365
2.084 3.012 -6.365
Ac Y Se
1 2 3
Cartesian
0.000 0.000 0.000 Ac
0.000 0.000 4.357 Y
0.000 0.000 8.373 Y
2.084 0.000 2.335 Se
0.000 3.012 0.000 Se
0.000 3.012 4.030 Se
```

Properties
ΔE_f (raw) ... -1.76 eV per atom
VASP energy ... -6.3416 eV per atom

---

# 11
VASP calculation (PBE) on crystalline HfCr2Pt2 at its relaxed geometry.

Geometry as POSCAR:
```
HfCr2Pt2
1.0
7.448 0.000 0.000
0.000 7.448 0.000
0.000 0.000 2.741
Hf Cr Pt
2 4 4
Cartesian
0.000 0.000 0.000 Hf
3.724 3.724 0.000 Hf
0.801 2.923 0.000 Cr
2.923 6.647 0.000 Cr
4.525 0.801 0.000 Cr
6.647 4.525 0.000 Cr
1.367 5.091 1.370 Pt
2.357 1.367 1.370 Pt
5.091 6.081 1.370 Pt
6.081 2.357 1.370 Pt
```

Properties
ΔH_f (0 K) ... -1.17 eV per formula unit
VASP energy ... -8.4913 eV per atom
Relative energy among the computed polymorphs ... 0.025 eV per atom

---

# 12
VASP calculation (PBE) on crystalline DyHfAs2Rh5 at its relaxed geometry.

Geometry as POSCAR:
```
DyHfAs2Rh5
1.0
4.029 0.000 0.000
0.000 4.029 0.000
0.000 0.000 10.948
Dy Hf As Rh
1 1 2 5
Cartesian
0.000 0.000 0.000 Dy
0.000 0.000 5.474 Hf
2.015 2.015 2.375 As
2.015 2.015 8.573 As
0.000 2.015 3.672 Rh
0.000 2.015 7.276 Rh
2.015 0.000 3.672 Rh
2.015 0.000 7.276 Rh
2.015 2.015 0.000 Rh
```

Properties
ΔH_f (0 K) ... -5.20 eV per formula unit
VASP energy ... -7.3119 eV per atom